[1]
A plane-wave DFT calculation with PBE was carried out for CoCuW2 after structural relaxation.

Lattice parameters (Å, degrees): 2.7206 2.7206 26.3822 90.00 90.00 120.00
With the nearest neighbours (Å) after each atom.
Space group R-3m (No. 166, hexagonal axes)
Asymmetric unit:
1 Co 0.0000 0.0000 0.0000 x3  6 W 2.64, 6 Co 2.72
2 Cu 0.0000 0.0000 0.5000 x3  6 Cu 2.72, 6 W 2.77
3 W 0.0000 0.0000 0.2531 x6  3 Co 2.64, 6 W 2.72, 3 Cu 2.77

## Properties
For the calculated total energy, the calculation gives -107.2 eV per cell. The calculation puts the energy relative to the lowest polymorph listed for this composition at 154.4 meV/atom. As for the energy of formation: 0.343 eV per atom. As for the crystal system: trigonal. Its density of states at the Fermi level is 0.814 states/eV per atom.



[2]
A plane-wave DFT calculation with PBE was carried out for ReOsSe after structural relaxation.

Lattice parameters (Å, degrees): 5.9940 5.9940 5.9940 90.00 90.00 90.00
With the nearest neighbours (Å) after each atom.
Space group F-43m (No. 216)
Asymmetric unit:
1 Re 0.0000 0.0000 0.0000 x4  4 Se 2.60, 4 Os 2.60
2 Os 0.2500 0.2500 0.2500 x4  4 Re 2.60
3 Se 0.2500 0.2500 0.7500 x4  4 Re 2.60

## Properties
For the calculated total energy, the calculation gives -100.7 eV per cell. Its uncorrected formation energy is 666 meV/atom. The calculation puts the energy relative to the lowest polymorph listed for this composition at 262.2 meV/atom. As for the crystal system: cubic. Its density of states at the Fermi level is 0.796 states/eV per atom.



Question: What is the formula in the second record?
Answer: ReOsSe



Question: energy relative to the lowest polymorph listed for this composition of number 2 (ReOsSe)?
Answer: 262.2 meV/atom